Record 1
VASP calculation (GGA-PBE) on crystalline Nd2HoGa4Pd3 at its relaxed geometry.

Values from the calculation:
Energy of formation from the pure elements (meV/atom): -725
DOS at the Fermi energy (states/eV/cell): 7.85
M_tot (Bohr magnetons per cell): 0.00

Cell and atoms, written as CIF:
```
data_Nd2HoGa4Pd3
_chemical_formula_sum 'Nd2 Ho1 Ga4 Pd3'
_symmetry_space_group_name_H-M 'P -4 m 2'
_symmetry_Int_Tables_number 115
_symmetry_space_group_name_Hall 'P -4 -2'
_cell_length_a 4.237
_cell_length_b 4.237
_cell_length_c 11.770
_cell_angle_alpha 90.00
_cell_angle_beta 90.00
_cell_angle_gamma 90.00
loop_
_atom_site_label
_atom_site_type_symbol
_atom_site_fract_x
_atom_site_fract_y
_atom_site_fract_z
Nd1 Nd 0.000 0.500 0.227
Ho1 Ho 0.000 0.000 0.500
Ga1 Ga 0.000 0.000 0.000
Ga2 Ga 0.000 0.500 0.666
Ga3 Ga 0.500 0.500 0.000
Pd1 Pd 0.000 0.500 0.877
Pd2 Pd 0.500 0.500 0.500
```



Record 2
VASP calculation (GGA-PBE) on crystalline NdHoGaPd at its relaxed geometry.

Values from the calculation:
Energy of formation from the pure elements (meV/atom): -649
DOS at the Fermi energy (states/eV/cell): 14.44
M_tot (Bohr magnetons per cell): 0.00
Energy above the lowest structure with this stoichiometry (meV per atom): 48.2

Cell and atoms, written as CIF:
```
data_NdHoGaPd
_chemical_formula_sum 'Nd4 Ho4 Ga4 Pd4'
_symmetry_space_group_name_H-M 'F -4 3 m'
_symmetry_Int_Tables_number 216
_symmetry_space_group_name_Hall 'F -4 2 3'
_cell_length_a 7.214
_cell_length_b 7.214
_cell_length_c 7.214
_cell_angle_alpha 90.00
_cell_angle_beta 90.00
_cell_angle_gamma 90.00
loop_
_atom_site_label
_atom_site_type_symbol
_atom_site_fract_x
_atom_site_fract_y
_atom_site_fract_z
Nd1 Nd 0.000 0.000 0.000
Ho1 Ho 0.000 0.000 0.500
Ga1 Ga 0.250 0.250 0.250
Pd1 Pd 0.250 0.250 0.750
```



Record 3
VASP calculation (GGA-PBE) on crystalline NdHoGa2Pd5 at its relaxed geometry.

Values from the calculation:
Energy of formation from the pure elements (meV/atom): -774
DOS at the Fermi energy (states/eV/cell): 5.51
M_tot (Bohr magnetons per cell): 0.00

Cell and atoms, written as CIF:
```
data_NdHoGa2Pd5
_chemical_formula_sum 'Nd1 Ho1 Ga2 Pd5'
_symmetry_space_group_name_H-M 'P 4/m m m'
_symmetry_Int_Tables_number 123
_symmetry_space_group_name_Hall '-P 4 2'
_cell_length_a 4.246
_cell_length_b 4.246
_cell_length_c 9.282
_cell_angle_alpha 90.00
_cell_angle_beta 90.00
_cell_angle_gamma 90.00
loop_
_atom_site_label
_atom_site_type_symbol
_atom_site_fract_x
_atom_site_fract_y
_atom_site_fract_z
Nd1 Nd 0.000 0.000 0.000
Ho1 Ho 0.000 0.000 0.500
Ga1 Ga 0.500 0.500 0.367
Pd1 Pd 0.000 0.500 0.228
Pd2 Pd 0.500 0.500 0.000
```



Record 4
VASP calculation (GGA-PBE) on crystalline NdHoGa2Pd2 at its relaxed geometry.

Values from the calculation:
Energy of formation from the pure elements (meV/atom): -839
DOS at the Fermi energy (states/eV/cell): 4.21
M_tot (Bohr magnetons per cell): 0.00

Cell and atoms, written as CIF:
```
data_NdHoGa2Pd2
_chemical_formula_sum 'Nd1 Ho1 Ga2 Pd2'
_symmetry_space_group_name_H-M 'P -3 m 1'
_symmetry_Int_Tables_number 164
_symmetry_space_group_name_Hall '-P 3 2"'
_cell_length_a 4.5202
_cell_length_b 4.5202
_cell_length_c 7.0498
_cell_angle_alpha 90.00
_cell_angle_beta 90.00
_cell_angle_gamma 120.00
loop_
_atom_site_label
_atom_site_type_symbol
_atom_site_fract_x
_atom_site_fract_y
_atom_site_fract_z
Nd1 Nd 0.0000 0.0000 0.0000
Ho1 Ho 0.0000 0.0000 0.5000
Ga1 Ga 0.3333 0.6667 0.2701
Pd1 Pd 0.3333 0.6667 0.7250
```



Record 5
VASP calculation (GGA-PBE) on crystalline PmNdHoGa at its relaxed geometry.

Values from the calculation:
Energy of formation from the pure elements (meV/atom): -49
DOS at the Fermi energy (states/eV/cell): 22.06
M_tot (Bohr magnetons per cell): 5.02

Cell and atoms, written as CIF:
```
data_PmNdHoGa
_chemical_formula_sum 'Pm4 Nd4 Ho4 Ga4'
_symmetry_space_group_name_H-M 'F -4 3 m'
_symmetry_Int_Tables_number 216
_symmetry_space_group_name_Hall 'F -4 2 3'
_cell_length_a 7.650
_cell_length_b 7.650
_cell_length_c 7.650
_cell_angle_alpha 90.00
_cell_angle_beta 90.00
_cell_angle_gamma 90.00
loop_
_atom_site_label
_atom_site_type_symbol
_atom_site_fract_x
_atom_site_fract_y
_atom_site_fract_z
Pm1 Pm 0.000 0.000 0.000
Nd1 Nd 0.250 0.250 0.250
Ho1 Ho 0.250 0.250 0.750
Ga1 Ga 0.000 0.000 0.500
```



Record 6
VASP calculation (GGA-PBE) on crystalline Nd2HoGa4Pt3 at its relaxed geometry.

Values from the calculation:
Energy of formation from the pure elements (meV/atom): -886
DOS at the Fermi energy (states/eV/cell): 8.36
M_tot (Bohr magnetons per cell): 0.00

Cell and atoms, written as CIF:
```
data_Nd2HoGa4Pt3
_chemical_formula_sum 'Nd2 Ho1 Ga4 Pt3'
_symmetry_space_group_name_H-M 'P -4 m 2'
_symmetry_Int_Tables_number 115
_symmetry_space_group_name_Hall 'P -4 -2'
_cell_length_a 4.256
_cell_length_b 4.256
_cell_length_c 11.583
_cell_angle_alpha 90.00
_cell_angle_beta 90.00
_cell_angle_gamma 90.00
loop_
_atom_site_label
_atom_site_type_symbol
_atom_site_fract_x
_atom_site_fract_y
_atom_site_fract_z
Nd1 Nd 0.000 0.500 0.227
Ho1 Ho 0.000 0.000 0.500
Ga1 Ga 0.000 0.000 0.000
Ga2 Ga 0.000 0.500 0.664
Ga3 Ga 0.500 0.500 0.000
Pt1 Pt 0.000 0.500 0.877
Pt2 Pt 0.500 0.500 0.500
```